Entry 1:
This record from Alexandria describes crystalline CaH4Pd at its relaxed geometry. The functional is PBE.

a b c (Å): 10.847 3.840 7.159
angles (deg): 90.00 106.35 90.00
Space group C2/m (No. 12)
One atom of each set of equivalent atoms:
Ca: 0.169 0.000 0.208 [4 per cell]
H: 0.063 0.000 0.431 [4 per cell]
H: 0.063 0.000 0.898 [4 per cell]
H: 0.100 0.500 0.693 [4 per cell]
H: 0.244 0.500 0.331 [4 per cell]
Pd: 0.101 0.000 0.686 [4 per cell]

Summary:
* total DFT energy (no corrections): -3.70 eV per atom
* total magnetic moment: 0.0 Bohr magnetons per cell

=====

Entry 2:
This record from Alexandria describes crystalline CaHPd3 at its relaxed geometry. The functional is PBE.

a b c (Å): 5.410 14.283 5.347
angles (deg): 90.00 90.00 90.00
Space group Cmcm (No. 63)
One atom of each set of equivalent atoms:
Ca: 0.000 0.181 0.250 [4 per cell]
H: 0.000 0.438 0.250 [4 per cell]
Pd: 0.000 0.000 0.000 [4 per cell]
Pd: 0.249 0.365 0.250 [8 per cell]

Summary:
* total DFT energy (no corrections): -4.24 eV per atom
* distance to the lowest polymorph of the same formula: 231 kJ/mol of formula units
* total magnetic moment: 0.0 Bohr magnetons per cell

=====

Entry 3:
This record from Alexandria describes crystalline CaH4Pd2 at its relaxed geometry. The functional is PBE.

a b c (Å): 3.245 9.682 8.832
angles (deg): 90.00 90.00 90.00
Space group Cmcm (No. 63)
One atom of each set of equivalent atoms:
Ca: 0.000 0.097 0.250 [4 per cell]
H: 0.000 0.000 0.000 [4 per cell]
H: 0.000 0.247 0.597 [8 per cell]
H: 0.000 0.430 0.250 [4 per cell]
Pd: 0.000 0.364 0.060 [8 per cell]

Summary:
* total DFT energy (no corrections): -4.01 eV per atom
* total magnetic moment: 0.0 Bohr magnetons per cell

=====

Entry 4:
This record from Alexandria describes crystalline CaHPd3 at its relaxed geometry. The functional is PBE.

a b c (Å): 10.902 10.902 10.902
angles (deg): 90.00 90.00 90.00
Space group Fd-3m (No. 227, origin choice 2)
One atom of each set of equivalent atoms:
Ca: 0.000 0.000 0.000 [16 per cell]
H: 0.000 0.000 0.500 [16 per cell]
Pd: 0.060 0.375 0.875 [48 per cell]

Summary:
* total DFT energy (no corrections): -4.50 eV per atom
* distance to the lowest polymorph of the same formula: 103 kJ/mol of formula units
* total magnetic moment: 0.0 Bohr magnetons per cell